Crystalline NaHSe2 at its relaxed geometry, computed with PBE.

It has space group I-42d (No. 122), with a = 5.0839 Å, b = 5.0839 Å, c = 13.2433 Å, α = 90.00°, β = 90.00° and γ = 90.00°. Symmetry generates all atoms from Na at (0.0000, 0.0000, 0.0000), H at (0.0000, 0.0000, 0.5000) and Se at (0.0674, 0.2500, 0.6250).

Its energy is -48.1 eV per cell. The density of states at the Fermi level is 2.611 states/eV per cell.